(1)
This record from Alexandria via LeMat-Bulk describes a relaxed Ba3Te crystal. The functional is PBE.

Output
- ΔE_f (raw): -539 meV/atom
- Density of states at the Fermi level: 9.51 states/eV/cell
- Crystal system: tetragonal
- Space-group type: No. 139
- Final energy: -0.203 Ry per atom

Lattice parameters (Å, degrees): 5.3412 5.3412 13.0045 90.00 90.00 90.00
With the nearest neighbours (Å) after each atom.
Fractional coordinates of all 8 atoms:
Ba  0.0000  0.0000  0.0000  4 Te 3.78, 8 Ba 4.21
Ba  0.0000  0.5000  0.2500  8 Ba 3.78-4.21, 4 Te 4.21
Ba  0.0000  0.5000  0.7500  8 Ba 3.78-4.21, 4 Te 4.21
Ba  0.5000  0.0000  0.2500  8 Ba 3.78-4.21, 4 Te 4.21
Ba  0.5000  0.0000  0.7500  8 Ba 3.78-4.21, 4 Te 4.21
Ba  0.5000  0.5000  0.5000  4 Te 3.78, 8 Ba 4.21
Te  0.0000  0.0000  0.5000  12 Ba 3.78-4.21
Te  0.5000  0.5000  0.0000  12 Ba 3.78-4.21

***

(2)
This record from Alexandria via LeMat-Bulk describes a relaxed Li2CdSb crystal. The functional is PBE.

Output
- ΔE_f (raw): -154 meV/atom
- Density of states at the Fermi level: 7.92 states/eV/cell
- Crystal system: tetragonal
- Space-group type: No. 122
- Final energy: -0.174 Ry per atom

Lattice parameters (Å, degrees): 7.8338 7.8338 5.9713 90.00 90.00 90.00
With the nearest neighbours (Å) after each atom.
Fractional coordinates of all 16 atoms:
Li  0.2380  0.7500  0.1250  2 Sb 2.81, 2 Cd 2.93, 2 Li 2.99
Li  0.2500  0.2380  0.8750  2 Sb 2.81, 2 Cd 2.93, 2 Li 2.99
Li  0.2500  0.2620  0.3750  2 Sb 2.81, 2 Cd 2.93, 2 Li 2.99
Li  0.2620  0.7500  0.6250  2 Sb 2.81, 2 Cd 2.93, 2 Li 2.99
Li  0.7380  0.2500  0.6250  2 Sb 2.81, 2 Cd 2.93, 2 Li 2.99
Li  0.7500  0.7380  0.3750  2 Sb 2.81, 2 Cd 2.93, 2 Li 2.99
Li  0.7500  0.7620  0.8750  2 Sb 2.81, 2 Cd 2.93, 2 Li 2.99
Li  0.7620  0.2500  0.1250  2 Sb 2.81, 2 Cd 2.93, 2 Li 2.99
Cd  0.0000  0.0000  0.5000  4 Li 2.93, 2 Sb 2.99
Cd  0.0000  0.5000  0.7500  4 Li 2.93, 2 Sb 2.99
Cd  0.5000  0.0000  0.2500  4 Li 2.93, 2 Sb 2.99
Cd  0.5000  0.5000  0.0000  4 Li 2.93, 2 Sb 2.99
Sb  0.0000  0.0000  0.0000  4 Li 2.81, 2 Cd 2.99
Sb  0.0000  0.5000  0.2500  4 Li 2.81, 2 Cd 2.99
Sb  0.5000  0.0000  0.7500  4 Li 2.81, 2 Cd 2.99
Sb  0.5000  0.5000  0.5000  4 Li 2.81, 2 Cd 2.99

***

(3)
This record from Alexandria via LeMat-Bulk describes a relaxed HfTi2NbN crystal. The functional is PBE.

Output
- ΔE_f (raw): -719 meV/atom
- Density of states at the Fermi level: 3.19 states/eV/cell
- Crystal system: tetragonal
- Space-group type: No. 123
- Final energy: -0.702 Ry per atom

Lattice parameters (Å, degrees): 4.1838 4.1838 4.4631 90.00 90.00 90.00
With the nearest neighbours (Å) after each atom.
Fractional coordinates of all 5 atoms:
Hf  0.0000  0.0000  0.0000  2 N 2.23
Ti  0.0000  0.5000  0.5000  2 N 2.09
Ti  0.5000  0.0000  0.5000  2 N 2.09
Nb  0.5000  0.5000  0.0000  4 Hf 2.96, 8 Ti 3.06
N  0.0000  0.0000  0.5000  4 Ti 2.09, 2 Hf 2.23